Arrangement a

{"formula": "GaSn3W", "functional": "PBE-GGA", "state": "optimized geometry", "crystal_system": "cubic", "magmom_total_mub_per_atom": 0.000, "cell": [[5.2928, 0.0000, 0.0000], [0.0000, 5.2928, 0.0000], [0.0000, 0.0000, 5.2928]], "species": ["W", "Sn", "Ga", "Sn", "Sn"], "frac_coords": [[0.0000, 0.0000, 0.0000], [0.0000, 0.0000, 0.5000], [0.5000, 0.5000, 0.5000], [0.0000, 0.5000, 0.0000], [0.5000, 0.0000, 0.0000]]}

---

Arrangement b

{"formula": "GaSn3W", "functional": "PBE-GGA", "state": "optimized geometry", "crystal_system": "cubic", "magmom_total_mub_per_atom": 0.752, "cell": [[5.1963, 0.0000, 0.0000], [0.0000, 5.1963, 0.0000], [0.0000, 0.0000, 5.1963]], "species": ["W", "Ga", "Sn", "Sn", "Sn"], "frac_coords": [[0.5000, 0.5000, 0.5000], [0.0000, 0.0000, 0.0000], [0.0000, 0.5000, 0.0000], [0.0000, 0.0000, 0.5000], [0.5000, 0.0000, 0.0000]]}

---

Verdict on stability: arrangement a comes out on top.